Entry from Alexandria via LeMat-Bulk: a relaxed BaTe2HCl crystal (PBE).

Unit cell a=6.706 b=6.706 c=3.236 alpha=90.00 beta=90.00 gamma=90.00
Space group P4/mmm (No. 123)
One atom of each set of equivalent atoms:
Ba: 0.000 0.000 0.000
Te: 0.000 0.500 0.500
H: 0.500 0.500 0.000
Cl: 0.500 0.500 0.500

Results
As for the energy: -3.007 eV per atom.